No. 1
Density functional theory data (GGA-PBE) for crystalline HgTe2Pt at its relaxed geometry.

```
HgTe2Pt
1.0
-4.863 -5.128 -3.302
-0.375 -7.701 -1.183
1.290 6.105 4.682
Pt Te Hg
1 2 1
Cartesian
-3.096 -2.719 -0.431
-0.852 -4.006 0.628
0.000 0.000 0.000
-2.619 -6.415 -2.243
```

Properties
- crystal system = tetragonal
- ρ (Mg/m³) = 9.50
- final energy (eV/cell) = -11.45
- uncorrected formation energy (eV per atom) = 0.295
- Fermi-level density of states (states/eV per atom) = 0.676

No. 2
Density functional theory data (GGA-PBE) for crystalline CrCdSnS4 at its relaxed geometry.

```
CrCdSnS4
1.0
7.430 0.000 0.000
3.715 6.612 0.129
3.715 2.138 6.259
Sn S Cd Cr
2 8 2 2
Cartesian
3.715 4.375 3.194
0.000 0.000 0.000
5.550 2.988 4.530
5.550 5.762 1.858
3.715 2.060 1.872
7.430 1.964 1.802
11.145 6.690 4.516
9.310 2.988 4.530
7.430 6.785 4.586
9.310 5.762 1.858
7.430 4.361 0.835
7.430 4.389 5.553
5.572 1.069 3.129
1.857 1.069 3.129
```

Properties
- crystal system = orthorhombic
- ρ (Mg/m³) = 4.47
- final energy (eV/cell) = -69.73
- uncorrected formation energy (eV per atom) = -0.545
- Fermi-level density of states (states/eV per atom) = 0.236

No. 3
Density functional theory data (GGA-PBE) for crystalline InBiAs at its relaxed geometry.

```
InBiAs
1.0
-2.959 1.023 2.700
1.790 -3.721 0.206
3.935 2.088 3.522
As Bi In
1 1 1
Cartesian
-0.030 0.156 3.073
0.119 0.063 0.106
2.677 -0.829 3.248
```

Properties
- crystal system = trigonal
- ρ (Mg/m³) = 7.88
- final energy (eV/cell) = -11.15
- Fermi-level density of states (states/eV per atom) = 0.571
- formation energy from the elements (eV per atom) = 0.038

No. 4
Density functional theory data (GGA-PBE) for crystalline HfScFe2Tc at its relaxed geometry.

```
HfScFe2Tc
1.0
-0.136 -1.750 -3.825
1.917 -3.433 1.502
-4.496 -2.033 1.090
Fe Sc Hf Tc
2 1 1 1
Cartesian
-0.068 -0.875 -1.913
0.958 -1.716 0.751
0.000 0.000 0.000
-2.248 -1.017 0.545
-1.358 -3.608 -0.617
```

Properties
- crystal system = tetragonal
- ρ (Mg/m³) = 8.03
- final energy (eV/cell) = -36.07
- Fermi-level density of states (states/eV per atom) = 0.980
- formation energy from the elements (eV per atom) = 1.501

No. 5
Density functional theory data (GGA-PBE) for crystalline Tm6PdRh2 at its relaxed geometry.

```
Tm6PdRh2
1.0
7.694 0.005 -2.921
-4.016 6.813 -2.278
-0.193 -0.005 8.228
Tm Pd Rh
12 2 4
Cartesian
4.007 4.952 -2.831
-1.695 6.660 2.396
-1.741 5.127 5.491
-0.522 1.861 5.860
5.226 1.686 -2.463
5.180 0.153 0.632
0.389 1.681 2.480
3.741 2.480 2.666
-0.256 4.333 0.362
1.142 4.947 3.507
2.343 1.866 -0.478
3.096 5.132 0.548
0.000 0.000 0.000
-2.105 3.404 2.975
5.017 0.000 3.549
2.484 0.000 1.757
2.201 2.507 4.844
1.284 4.306 -1.815
```

Properties
- crystal system = orthorhombic
- ρ (Mg/m³) = 10.30
- final energy (eV/cell) = -105.51
- Fermi-level density of states (states/eV per atom) = 0.824
- formation energy from the elements (eV per atom) = -0.670

No. 6
Density functional theory data (GGA-PBE) for crystalline PmInIr2 at its relaxed geometry.

```
PmInIr2
1.0
-2.580 -0.148 -2.329
2.333 -0.087 -2.579
0.096 -6.460 0.305
Pm Ir In
1 2 1
Cartesian
-0.075 -3.348 -2.301
0.022 -1.462 0.069
0.074 -4.998 0.236
-0.123 -0.118 -2.454
```

Properties
- crystal system = tetragonal
- ρ (Mg/m³) = 13.67
- final energy (eV/cell) = -26.40
- Fermi-level density of states (states/eV per atom) = 0.609
- formation energy from the elements (eV per atom) = -0.298

No. 7
Density functional theory data (GGA-PBE) for crystalline RbErCdBr6 at its relaxed geometry.

```
RbErCdBr6
1.0
7.292 0.000 0.000
-3.646 6.315 0.000
0.000 0.000 15.254
Br Er Cd Rb
12 2 2 2
Cartesian
2.292 3.932 9.815
0.905 6.296 5.439
1.354 2.383 5.439
-2.259 3.951 5.439
5.906 2.364 9.815
2.741 0.019 9.815
-0.905 6.296 2.188
1.387 2.364 13.066
5.000 3.932 13.066
2.259 3.951 2.188
4.551 0.019 13.066
-1.354 2.383 2.188
3.646 2.105 11.440
0.000 4.210 3.813
0.000 4.210 11.440
3.646 2.105 3.813
0.000 0.000 0.000
0.000 0.000 7.627
```

Properties
- crystal system = trigonal
- ρ (Mg/m³) = 3.99
- final energy (eV/cell) = -60.40
- uncorrected formation energy (eV per atom) = -1.524
- Fermi-level density of states (states/eV per atom) = 0.000

No. 8
Density functional theory data (GGA-PBE) for crystalline Th7InIr2 at its relaxed geometry.

```
Th7InIr2
1.0
-5.179 -0.348 -0.699
-0.915 -2.545 8.042
-0.388 8.376 -1.293
Th Ir In
7 2 1
Cartesian
-3.729 3.272 6.376
-3.598 5.993 4.050
-2.884 -0.510 1.999
-0.773 0.392 5.531
-2.753 2.211 -0.327
-3.241 2.742 3.025
-0.530 5.439 1.217
-3.340 0.687 4.781
-3.142 4.796 1.269
0.000 0.000 0.000
```

Properties
- crystal system = orthorhombic
- ρ (Mg/m³) = 10.39
- final energy (eV/cell) = -73.32
- Fermi-level density of states (states/eV per atom) = 1.551
- formation energy from the elements (eV per atom) = -0.092

No. 9
Density functional theory data (GGA-PBE) for crystalline Pm4Nd3Pu at its relaxed geometry.

```
Pm4Nd3Pu
1.0
-1.564 -3.119 -0.423
4.740 -3.752 10.134
-6.843 5.626 -1.586
Nd Pm Pu
3 4 1
Cartesian
-1.219 -2.265 6.602
2.370 -1.876 5.067
-2.448 1.021 1.523
-0.985 -1.915 3.158
-5.072 2.562 -0.143
-2.682 0.671 4.966
1.405 -3.806 8.267
-0.782 -1.559 -0.212
```

Properties
- crystal system = orthorhombic
- ρ (Mg/m³) = 7.67
- final energy (eV/cell) = -46.47
- Fermi-level density of states (states/eV per atom) = 2.045
- formation energy from the elements (eV per atom) = 0.145

No. 10
Density functional theory data (GGA-PBE) for crystalline BaAs4Ir at its relaxed geometry.

```
BaAs4Ir
1.0
-0.703 -5.716 -0.044
-0.218 -2.913 4.963
-4.973 -2.303 1.771
As Ba Ir
4 1 1
Cartesian
-2.270 -5.563 5.119
-2.153 -3.993 2.443
-2.532 -7.074 2.419
-4.833 -5.234 3.398
-4.421 -8.199 5.017
0.000 0.000 0.000
```

Properties
- crystal system = cubic
- ρ (Mg/m³) = 7.74
- final energy (eV/cell) = -27.34
- Fermi-level density of states (states/eV per atom) = 1.056
- formation energy from the elements (eV per atom) = 0.340

No. 11
Density functional theory data (GGA-PBE) for crystalline LiSm12Cd6 at its relaxed geometry.

```
LiSm12Cd6
1.0
-2.451 -7.653 -1.534
-2.519 -1.109 7.704
-7.611 2.421 -1.771
Cd Sm Li
6 12 1
Cartesian
-6.030 -6.070 5.288
-9.307 -0.626 3.761
-3.274 -5.715 0.638
-8.505 -5.321 -0.713
-6.552 -0.272 -0.889
-4.076 -1.020 5.112
-9.271 -6.893 3.924
-10.431 -3.805 5.057
-7.161 -2.993 4.588
-11.070 -4.812 1.779
-8.551 -2.608 1.166
-3.310 0.552 0.476
-1.511 -1.530 2.620
-6.682 -5.686 2.076
-2.150 -2.536 -0.658
-5.421 -3.348 -0.189
-5.899 -0.656 2.323
-4.030 -3.733 3.233
0.000 0.000 0.000
```

Properties
- crystal system = trigonal
- ρ (Mg/m³) = 7.56
- final energy (eV/cell) = -65.82
- Fermi-level density of states (states/eV per atom) = 1.360
- formation energy from the elements (eV per atom) = -0.094

No. 12
Density functional theory data (GGA-PBE) for crystalline TbCe2Ir9 at its relaxed geometry.

```
TbCe2Ir9
1.0
5.315 0.000 0.000
2.658 4.603 0.000
2.658 1.534 8.860
Ir Ce Tb
9 2 1
Cartesian
2.658 1.534 0.014
5.315 3.069 4.430
3.984 2.300 2.180
5.315 1.532 6.680
3.984 3.837 6.680
7.973 4.603 8.846
6.646 2.300 2.180
6.646 3.837 6.680
5.315 4.606 2.180
7.973 4.603 3.693
2.658 1.534 5.168
0.000 0.000 0.000
```

Properties
- crystal system = trigonal
- ρ (Mg/m³) = 16.61
- final energy (eV/cell) = -103.29
- Fermi-level density of states (states/eV per atom) = 0.883
- formation energy from the elements (eV per atom) = -0.587

No. 13
Density functional theory data (GGA-PBE) for crystalline CsMn2CuBr8 at its relaxed geometry.

```
CsMn2CuBr8
1.0
6.877 0.000 0.000
-3.439 5.956 0.000
0.000 0.000 9.861
Mn Br Cs Cu
2 8 1 1
Cartesian
0.000 3.971 7.121
3.439 1.985 2.740
1.106 1.781 3.390
-0.990 1.848 6.471
4.428 4.108 3.390
4.782 0.067 3.390
2.333 4.175 6.471
-1.343 5.889 6.471
3.439 1.985 0.350
0.000 3.971 9.510
0.000 0.000 0.000
0.000 0.000 4.930
```

Properties
- crystal system = trigonal
- ρ (Mg/m³) = 3.89
- final energy (eV/cell) = -45.87
- uncorrected formation energy (eV per atom) = -0.766
- Fermi-level density of states (states/eV per atom) = 0.388

No. 14
Density functional theory data (GGA-PBE) for crystalline Ac4Mg2Tl at its relaxed geometry.

```
Ac4Mg2Tl
1.0
6.674 0.007 -2.344
-3.325 5.771 -2.385
0.004 -0.007 7.074
Ac Mg Tl
4 2 1
Cartesian
0.002 -0.003 3.537
1.677 2.885 1.172
3.337 0.003 -1.172
-1.662 2.885 -1.192
1.675 2.889 -2.365
3.339 0.000 2.365
0.000 0.000 0.000
```

Properties
- crystal system = tetragonal
- ρ (Mg/m³) = 7.07
- final energy (eV/cell) = -22.34
- Fermi-level density of states (states/eV per atom) = 0.881
- formation energy from the elements (eV per atom) = -0.050

No. 15
Density functional theory data (GGA-PBE) for crystalline Cs3CoPt at its relaxed geometry.

```
Cs3CoPt
1.0
6.631 0.000 0.000
0.000 6.631 0.000
0.000 0.000 6.631
Cs Pt Co
3 1 1
Cartesian
3.315 0.000 0.000
0.000 3.315 0.000
0.000 0.000 3.315
0.000 0.000 0.000
3.315 3.315 3.315
```

Properties
- crystal system = cubic
- ρ (Mg/m³) = 3.72
- final energy (eV/cell) = -12.33
- E above lowest polymorph (eV per atom) = 0.000
- Fermi-level density of states (states/eV per atom) = 0.303
- formation energy from the elements (eV per atom) = 0.675

No. 16
Density functional theory data (GGA-PBE) for crystalline NdMnGa5Pt2 at its relaxed geometry.

```
NdMnGa5Pt2
1.0
-0.050 -4.323 0.034
3.133 -0.013 2.979
-6.916 0.136 7.275
Ga Pt Nd Mn
5 2 1 1
Cartesian
0.583 0.013 2.524
-1.008 -2.142 1.052
-1.916 -2.099 5.144
-4.366 0.111 7.730
-5.957 -2.044 6.257
-3.525 -2.068 6.836
-0.308 -2.131 3.451
-3.458 0.068 3.637
0.000 0.000 0.000
```

Properties
- crystal system = tetragonal
- ρ (Mg/m³) = 8.30
- final energy (eV/cell) = -43.98
- Fermi-level density of states (states/eV per atom) = 0.458
- formation energy from the elements (eV per atom) = -0.314

No. 17
Density functional theory data (GGA-PBE) for crystalline KTaCr at its relaxed geometry.

```
KTaCr
1.0
-4.464 1.510 1.616
-4.145 -1.701 -2.180
-2.972 -3.172 2.433
Ta K Cr
1 1 1
Cartesian
0.000 0.000 0.000
-8.686 -2.522 1.403
-5.790 -1.681 0.935
```

Properties
- crystal system = cubic
- ρ (Mg/m³) = 5.17
- final energy (eV/cell) = -14.19
- E above lowest polymorph (eV per atom) = 1.801
- Fermi-level density of states (states/eV per atom) = 1.749
- formation energy from the elements (eV per atom) = 2.796

No. 18
Density functional theory data (GGA-PBE) for crystalline Co2CuSb at its relaxed geometry.

```
Co2CuSb
1.0
3.760 0.000 0.000
0.000 3.760 0.000
1.880 1.880 8.742
Cu Co Sb
2 4 2
Cartesian
1.880 3.760 4.371
1.880 1.880 0.000
1.187 2.820 2.185
2.574 0.940 2.185
2.820 3.067 6.556
4.700 4.454 6.556
0.000 0.000 0.000
3.760 1.880 4.371
```

Properties
- crystal system = tetragonal
- ρ (Mg/m³) = 8.15
- final energy (eV/cell) = -41.39
- uncorrected formation energy (eV per atom) = 0.434
- Fermi-level density of states (states/eV per atom) = 0.990

No. 19
Density functional theory data (GGA-PBE) for crystalline Pm6CS2I3 at its relaxed geometry.

```
Pm6CS2I3
1.0
7.052 -0.002 0.000
-3.526 6.107 0.000
-1.176 -2.037 7.575
Pm I S C
6 3 2 1
Cartesian
3.436 2.186 6.223
-0.088 -0.153 6.216
-1.086 1.884 1.352
2.439 4.222 1.359
0.176 4.069 6.223
2.174 0.001 1.352
-2.330 4.059 3.788
4.680 0.010 3.788
1.175 2.035 3.788
3.527 2.035 0.000
0.000 4.071 0.000
0.000 0.000 0.000
```

Properties
- crystal system = monoclinic
- ρ (Mg/m³) = 6.75
- final energy (eV/cell) = -65.48
- uncorrected formation energy (eV per atom) = -1.237
- Fermi-level density of states (states/eV per atom) = 0.432

No. 20
Density functional theory data (GGA-PBE) for crystalline Tm2ZrGe2Rh5 at its relaxed geometry.

```
Tm2ZrGe2Rh5
1.0
-0.958 2.399 2.576
3.410 -6.027 6.881
8.781 4.215 -0.660
Tm Rh Zr Ge
4 10 2 4
Cartesian
8.380 1.515 1.706
8.728 -2.150 5.248
3.463 0.338 0.973
3.811 -3.327 4.515
0.838 0.224 2.685
5.730 -1.259 5.886
3.911 3.307 0.958
3.542 -0.178 4.065
5.503 1.846 2.911
4.539 -3.531 7.559
10.395 0.362 6.111
1.226 -1.814 4.728
6.694 4.118 1.238
7.691 0.764 4.732
0.000 0.000 0.000
6.096 -0.906 3.110
9.816 -0.076 3.721
6.281 -3.694 5.775
5.911 1.882 0.446
2.375 -1.736 2.500
```

Properties
- crystal system = tetragonal
- ρ (Mg/m³) = 10.40
- final energy (eV/cell) = -144.69
- Fermi-level density of states (states/eV per atom) = 0.224
- formation energy from the elements (eV per atom) = -0.886